# 1
{"formula": "Ba2Sr2Mg", "functional": "PBE", "state": "optimized geometry", "lattice_angstrom": [[9.072, 0.000, 0.000], [0.000, 9.072, 0.000], [0.000, 0.000, 6.622]], "species": ["Ba", "Ba", "Ba", "Ba", "Sr", "Sr", "Sr", "Sr", "Mg", "Mg"], "fractional_positions": [[0.172, 0.328, 0.000], [0.328, 0.828, 0.000], [0.672, 0.172, 0.000], [0.828, 0.672, 0.000], [0.151, 0.651, 0.500], [0.349, 0.151, 0.500], [0.651, 0.849, 0.500], [0.849, 0.349, 0.500], [0.000, 0.000, 0.500], [0.500, 0.500, 0.500]], "de_polymorph_mev_per_atom": 161.0, "volume_a3_per_cell": 545.0, "e_form_ev_per_atom": 0.142, "dos_ef_per_ev_cell": 19.66, "final_energy_ev_per_atom": -1.619, "spacegroup": "P4/mbm, No. 127"}

---

# 2
{"formula": "Ba2SrMg", "functional": "PBE", "state": "optimized geometry", "lattice_angstrom": [[-5.183, 5.183, 3.833], [5.183, -5.183, 3.833], [5.183, 5.183, -3.833]], "species": ["Ba", "Ba", "Ba", "Ba", "Sr", "Sr", "Mg", "Mg"], "fractional_positions": [[0.086, 0.625, 0.961], [0.375, 0.336, 0.461], [0.664, 0.125, 0.039], [0.875, 0.914, 0.539], [0.250, 0.750, 0.500], [0.500, 0.500, 0.000], [0.000, 0.000, 0.000], [0.750, 0.250, 0.500]], "volume_a3_per_cell": 411.9, "e_form_ev_per_atom": 0.186, "dos_ef_per_ev_cell": 4.30, "final_energy_ev_per_atom": -1.595, "spacegroup": "I-42d, No. 122"}

---

# 3
{"formula": "BaSr2Mg2", "functional": "PBE", "state": "optimized geometry", "lattice_angstrom": [[9.624, 0.000, 0.000], [0.000, 9.624, 0.000], [0.000, 0.000, 4.718]], "species": ["Ba", "Ba", "Sr", "Sr", "Sr", "Sr", "Mg", "Mg", "Mg", "Mg"], "fractional_positions": [[0.000, 0.000, 0.000], [0.500, 0.500, 0.000], [0.168, 0.332, 0.500], [0.332, 0.832, 0.500], [0.668, 0.168, 0.500], [0.832, 0.668, 0.500], [0.119, 0.619, 0.000], [0.381, 0.119, 0.000], [0.619, 0.881, 0.000], [0.881, 0.381, 0.000]], "de_polymorph_mev_per_atom": 10.1, "volume_a3_per_cell": 437.0, "e_form_ev_per_atom": -0.012, "dos_ef_per_ev_cell": 10.93, "final_energy_ev_per_atom": -1.707, "spacegroup": "P4/mbm, No. 127"}

---

# 4
{"formula": "Ba6SrMg5", "functional": "PBE", "state": "optimized geometry", "lattice_angstrom": [[-3.141, 4.490, 9.386], [3.141, -4.490, 9.386], [3.141, 4.490, -9.386]], "species": ["Ba", "Ba", "Ba", "Ba", "Ba", "Ba", "Sr", "Mg", "Mg", "Mg", "Mg", "Mg"], "fractional_positions": [[0.063, 0.325, 0.738], [0.226, 0.000, 0.226], [0.412, 0.675, 0.738], [0.588, 0.325, 0.262], [0.774, 0.000, 0.774], [0.937, 0.675, 0.262], [0.500, 0.500, 0.000], [0.000, 0.500, 0.500], [0.167, 0.167, 0.000], [0.347, 0.847, 0.500], [0.653, 0.153, 0.500], [0.833, 0.833, 0.000]], "volume_a3_per_cell": 529.5, "e_form_ev_per_atom": -0.025, "dos_ef_per_ev_cell": 12.52, "final_energy_ev_per_atom": -1.791, "spacegroup": "Immm, No. 71"}

---

# 5
{"formula": "Ba3Sr6Mg", "functional": "PBE", "state": "optimized geometry", "lattice_angstrom": [[13.703, 0.000, 0.000], [0.000, 4.337, 0.000], [-3.631, 0.000, 18.578]], "species": ["Ba", "Ba", "Ba", "Ba", "Ba", "Ba", "Sr", "Sr", "Sr", "Sr", "Sr", "Sr", "Sr", "Sr", "Sr", "Sr", "Sr", "Sr", "Mg", "Mg"], "fractional_positions": [[0.076, 0.250, 0.308], [0.222, 0.250, 0.786], [0.392, 0.750, 0.653], [0.608, 0.250, 0.347], [0.778, 0.750, 0.214], [0.924, 0.750, 0.692], [0.009, 0.750, 0.097], [0.122, 0.250, 0.557], [0.255, 0.750, 0.987], [0.341, 0.750, 0.260], [0.366, 0.250, 0.455], [0.493, 0.250, 0.112], [0.507, 0.750, 0.888], [0.634, 0.750, 0.545], [0.659, 0.250, 0.740], [0.745, 0.250, 0.013], [0.878, 0.750, 0.443], [0.991, 0.250, 0.903], [0.217, 0.250, 0.127], [0.783, 0.750, 0.873]], "volume_a3_per_cell": 1103.9, "e_form_ev_per_atom": 0.036, "dos_ef_per_ev_cell": 28.26, "final_energy_ev_per_atom": -1.709, "spacegroup": "P2_1/m, No. 11"}

---

# 6
{"formula": "Ba3SrMg", "functional": "PBE", "state": "optimized geometry", "lattice_angstrom": [[6.861, 0.000, 0.000], [0.000, 6.861, 0.000], [0.000, 0.000, 6.861]], "species": ["Ba", "Ba", "Ba", "Sr", "Mg"], "fractional_positions": [[0.000, 0.000, 0.500], [0.000, 0.500, 0.000], [0.500, 0.000, 0.000], [0.000, 0.000, 0.000], [0.500, 0.500, 0.500]], "de_polymorph_mev_per_atom": 703.6, "volume_a3_per_cell": 323.0, "e_form_ev_per_atom": 0.699, "dos_ef_per_ev_cell": 11.90, "final_energy_ev_per_atom": -1.110, "spacegroup": "Pm-3m, No. 221"}

---

# 7
{"formula": "Ba2Sr8Mg", "functional": "PBE", "state": "optimized geometry", "lattice_angstrom": [[10.371, -3.086, 0.000], [10.371, 3.086, 0.000], [-3.280, 0.000, 9.110]], "species": ["Ba", "Ba", "Sr", "Sr", "Sr", "Sr", "Sr", "Sr", "Sr", "Sr", "Mg"], "fractional_positions": [[0.123, 0.123, 0.158], [0.877, 0.877, 0.842], [0.046, 0.046, 0.717], [0.224, 0.224, 0.632], [0.324, 0.324, 0.096], [0.415, 0.415, 0.570], [0.585, 0.585, 0.430], [0.676, 0.676, 0.904], [0.776, 0.776, 0.368], [0.954, 0.954, 0.283], [0.500, 0.500, 0.000]], "de_polymorph_mev_per_atom": 0.0, "volume_a3_per_cell": 583.1, "e_form_ev_per_atom": 0.028, "dos_ef_per_ev_cell": 14.71, "final_energy_ev_per_atom": -1.690, "spacegroup": "C2/m, No. 12"}

---

# 8
{"formula": "Ba2Sr2Mg", "functional": "PBE", "state": "optimized geometry", "lattice_angstrom": [[-3.049, 3.049, 14.866], [3.049, -3.049, 14.866], [3.049, 3.049, -14.866]], "species": ["Ba", "Ba", "Ba", "Ba", "Sr", "Sr", "Sr", "Sr", "Mg", "Mg"], "fractional_positions": [[0.057, 0.307, 0.750], [0.307, 0.057, 0.250], [0.693, 0.943, 0.750], [0.943, 0.693, 0.250], [0.198, 0.448, 0.750], [0.448, 0.198, 0.250], [0.552, 0.802, 0.750], [0.802, 0.552, 0.250], [0.375, 0.625, 0.750], [0.625, 0.375, 0.250]], "de_polymorph_mev_per_atom": 109.6, "volume_a3_per_cell": 552.7, "e_form_ev_per_atom": 0.090, "dos_ef_per_ev_cell": 15.42, "final_energy_ev_per_atom": -1.670, "spacegroup": "I4_1/amd, No. 141"}

---

# 9
{"formula": "BaSr2Mg2", "functional": "PBE", "state": "optimized geometry", "lattice_angstrom": [[4.215, 0.000, 0.000], [0.000, 6.263, 0.000], [-2.110, 0.000, 16.020]], "species": ["Ba", "Ba", "Sr", "Sr", "Sr", "Sr", "Mg", "Mg", "Mg", "Mg"], "fractional_positions": [[0.142, 0.250, 0.285], [0.858, 0.750, 0.715], [0.046, 0.750, 0.092], [0.229, 0.750, 0.459], [0.771, 0.250, 0.541], [0.954, 0.250, 0.908], [0.364, 0.250, 0.725], [0.455, 0.750, 0.909], [0.545, 0.250, 0.091], [0.636, 0.750, 0.275]], "de_polymorph_mev_per_atom": 0.0, "volume_a3_per_cell": 422.9, "e_form_ev_per_atom": -0.022, "dos_ef_per_ev_cell": 10.09, "final_energy_ev_per_atom": -1.717, "spacegroup": "P2_1/m, No. 11"}

---

# 10
{"formula": "Ba5Sr5Mg2", "functional": "PBE", "state": "optimized geometry", "lattice_angstrom": [[9.332, -3.116, 0.000], [9.332, 3.116, 0.000], [-6.210, 0.000, 10.789]], "species": ["Ba", "Ba", "Ba", "Ba", "Ba", "Sr", "Sr", "Sr", "Sr", "Sr", "Mg", "Mg"], "fractional_positions": [[0.000, 0.000, 0.000], [0.109, 0.109, 0.796], [0.164, 0.164, 0.495], [0.836, 0.836, 0.505], [0.891, 0.891, 0.204], [0.244, 0.244, 0.204], [0.424, 0.424, 0.776], [0.500, 0.500, 0.500], [0.576, 0.576, 0.224], [0.756, 0.756, 0.796], [0.350, 0.350, 0.998], [0.650, 0.650, 0.002]], "volume_a3_per_cell": 627.5, "e_form_ev_per_atom": 0.023, "dos_ef_per_ev_cell": 16.42, "final_energy_ev_per_atom": -1.745, "spacegroup": "C2/m, No. 12"}

---

# 11
{"formula": "Ba6Sr2Mg", "functional": "PBE", "state": "optimized geometry", "lattice_angstrom": [[-3.562, 5.863, 6.136], [3.562, -5.863, 6.136], [3.562, 5.863, -6.136]], "species": ["Ba", "Ba", "Ba", "Ba", "Ba", "Ba", "Sr", "Sr", "Mg"], "fractional_positions": [[0.150, 0.339, 0.811], [0.169, 0.000, 0.169], [0.472, 0.661, 0.811], [0.528, 0.339, 0.189], [0.831, 0.000, 0.831], [0.850, 0.661, 0.189], [0.322, 0.822, 0.500], [0.678, 0.178, 0.500], [0.000, 0.500, 0.500]], "de_polymorph_mev_per_atom": 57.6, "volume_a3_per_cell": 512.7, "e_form_ev_per_atom": 0.101, "dos_ef_per_ev_cell": 11.07, "final_energy_ev_per_atom": -1.732, "spacegroup": "Immm, No. 71"}

---

# 12
{"formula": "Ba3Sr2Mg2", "functional": "PBE", "state": "optimized geometry", "lattice_angstrom": [[5.541, -3.192, 0.000], [5.541, 3.192, 0.000], [-3.701, 0.000, 9.296]], "species": ["Ba", "Ba", "Ba", "Sr", "Sr", "Mg", "Mg"], "fractional_positions": [[0.000, 0.000, 0.000], [0.147, 0.147, 0.444], [0.853, 0.853, 0.556], [0.412, 0.412, 0.238], [0.588, 0.588, 0.762], [0.278, 0.278, 0.830], [0.722, 0.722, 0.170]], "volume_a3_per_cell": 328.9, "e_form_ev_per_atom": 0.021, "dos_ef_per_ev_cell": 10.01, "final_energy_ev_per_atom": -1.739, "spacegroup": "C2/m, No. 12"}